The following is a GGA-PBE calculation of Sm6Dy7Er16 after structural relaxation, from Alexandria via LeMat-Bulk.

a = 11.0889 Å, b = 11.0889 Å, c = 11.0889 Å
α = 60.00°, β = 60.00°, γ = 60.00°
With the nearest neighbours (Å) after each atom.
Fractional positions:
Sm 0.2267 0.2267 0.7733  8 Er 3.55-3.62, 4 Dy 3.94
Sm 0.2267 0.7733 0.2267  8 Er 3.55-3.62, 4 Dy 3.94
Sm 0.2267 0.7733 0.7733  8 Er 3.55-3.62, 4 Dy 3.94
Sm 0.7733 0.2267 0.2267  8 Er 3.55-3.62, 4 Dy 3.94
Sm 0.7733 0.2267 0.7733  8 Er 3.55-3.62, 4 Dy 3.94
Sm 0.7733 0.7733 0.2267  8 Er 3.55-3.62, 4 Dy 3.94
Dy 0.0000 0.0000 0.5000  8 Er 3.23-3.39
Dy 0.0000 0.5000 0.0000  8 Er 3.23-3.39
Dy 0.0000 0.5000 0.5000  8 Er 3.23-3.39
Dy 0.5000 0.0000 0.0000  8 Er 3.23-3.39
Dy 0.5000 0.0000 0.5000  8 Er 3.23-3.39
Dy 0.5000 0.5000 0.0000  8 Er 3.23-3.39
Dy 0.5000 0.5000 0.5000  8 Er 3.41
Er 0.1235 0.6255 0.6255  4 Dy 3.39-3.41, 3 Er 3.55, 3 Sm 3.62
Er 0.1511 0.1511 0.1511  3 Dy 3.23, 3 Er 3.55, 3 Sm 3.55
Er 0.1511 0.1511 0.5467  3 Dy 3.23, 3 Er 3.55, 3 Sm 3.55
Er 0.1511 0.5467 0.1511  3 Dy 3.23, 3 Er 3.55, 3 Sm 3.55
Er 0.3745 0.3745 0.3745  4 Dy 3.39-3.41, 3 Er 3.55, 3 Sm 3.62
Er 0.3745 0.3745 0.8765  4 Dy 3.39-3.41, 3 Er 3.55, 3 Sm 3.62
Er 0.3745 0.8765 0.3745  4 Dy 3.39-3.41, 3 Er 3.55, 3 Sm 3.62
Er 0.4533 0.8489 0.8489  3 Dy 3.23, 3 Er 3.55, 3 Sm 3.55
Er 0.5467 0.1511 0.1511  3 Dy 3.23, 3 Er 3.55, 3 Sm 3.55
Er 0.6255 0.1235 0.6255  4 Dy 3.39-3.41, 3 Er 3.55, 3 Sm 3.62
Er 0.6255 0.6255 0.1235  4 Dy 3.39-3.41, 3 Er 3.55, 3 Sm 3.62
Er 0.6255 0.6255 0.6255  4 Dy 3.39-3.41, 3 Er 3.55, 3 Sm 3.62
Er 0.8489 0.4533 0.8489  3 Dy 3.23, 3 Er 3.55, 3 Sm 3.55
Er 0.8489 0.8489 0.4533  3 Dy 3.23, 3 Er 3.55, 3 Sm 3.55
Er 0.8489 0.8489 0.8489  3 Dy 3.23, 3 Er 3.55, 3 Sm 3.55
Er 0.8765 0.3745 0.3745  4 Dy 3.39-3.41, 3 Er 3.55, 3 Sm 3.62

symmetry: Fm-3m, No. 225

***

The following is a GGA-PBE calculation of NaAcLaTb after structural relaxation, from Alexandria via LeMat-Bulk.

a = 5.9477 Å, b = 5.9477 Å, c = 5.9477 Å
α = 60.00°, β = 60.00°, γ = 60.00°
With the nearest neighbours (Å) after each atom.
Fractional positions:
Na 0.0000 0.0000 0.0000  4 Ac 3.64, 4 La 3.64
Ac 0.7500 0.7500 0.7500  4 Na 3.64, 4 Tb 3.64
La 0.2500 0.2500 0.2500  4 Tb 3.64, 4 Na 3.64
Tb 0.5000 0.5000 0.5000  4 Ac 3.64, 4 La 3.64

symmetry: F-43m, No. 216

***

| no. | total moment (μB/cell) | energy relative to the elements (eV per atom) |
| --- | --- | --- |
| 1 | 0.19 | 0.2469 |
| 2 | 0.00 | 0.2278 |